# LiReAgSeS2

Crystalline LiReAgSeS2 at its relaxed geometry (PBE, OQMD via LeMat-Bulk).

Summary:
Total energy, eV/atom: -5.01

Unit cell a=7.2550 b=7.2550 c=9.8920 alpha=90.00 beta=90.00 gamma=154.37
Positions (direct):
1 Li 0.1881 0.8119 0.7500
2 Li 0.8119 0.1881 0.2500
3 Re 0.5000 0.5000 0.0000
4 Re 0.5000 0.5000 0.5000
5 Ag 0.1510 0.8490 0.2500
6 Ag 0.8490 0.1510 0.7500
7 Se 0.4542 0.5458 0.2500
8 Se 0.5458 0.4542 0.7500
9 S 0.1278 0.8722 0.0121
10 S 0.1278 0.8722 0.4879
11 S 0.8722 0.1278 0.5121
12 S 0.8722 0.1278 0.9879